The following is a DFT calculation (PBE) of Os3RuRh after structural relaxation.

Summary:
The calculation puts the density of states at the Fermi level at 2.0626 states/eV/atom. Its total energy is -7.6062 eV per atom. The value obtained for the total magnetization is 0.0 μB/f.u.

Structure (CIF):
```
data_Os3RuRh
_symmetry_space_group_name_H-M 'P m -3 m'
_symmetry_Int_Tables_number 221
_symmetry_space_group_name_Hall '-P 4 2 3'
_cell_length_a 4.598
_cell_length_b 4.598
_cell_length_c 4.598
_cell_angle_alpha 90.00
_cell_angle_beta 90.00
_cell_angle_gamma 90.00
loop_
_atom_site_label
_atom_site_type_symbol
_atom_site_fract_x
_atom_site_fract_y
_atom_site_fract_z
Os1 Os 0.000 0.000 0.500
Ru1 Ru 0.000 0.000 0.000
Rh1 Rh 0.500 0.500 0.500
```